# 1
Computed, not measured: a relaxed Ac2TbPr4Sm crystal at the GGA-PBE level of DFT.

Summary:
Energy of formation from the pure elements   0.031 eV per atom

Cell lengths 3.777, 6.432, 12.516 Å; angles 79.52, 90.00, 90.00 degrees
Fractional coordinates of all 8 atoms:
Pr (0.500, 0.746, 0.252)
Pr (0.000, 0.255, 0.247)
Pr (0.000, 0.745, 0.753)
Pr (0.500, 0.254, 0.748)
Ac (0.500, 0.000, 0.500)
Ac (0.000, 0.000, 0.000)
Tb (0.500, 0.500, 0.000)
Sm (0.000, 0.500, 0.500)


# 2
Computed, not measured: a relaxed Hf4BTe crystal at the GGA-PBE level of DFT.

Summary:
Uncorrected formation energy   -290 meV per atom

Cell lengths 5.872, 6.860, 7.537 Å; angles 109.90, 104.81, 107.11 degrees
Fractional coordinates of all 12 atoms:
Te (0.355, 0.605, 0.211)
Te (0.645, 0.395, 0.789)
Hf (0.054, 0.851, 0.115)
Hf (0.439, 0.737, 0.885)
Hf (0.789, 0.670, 0.581)
Hf (0.561, 0.263, 0.115)
Hf (0.707, 0.089, 0.419)
Hf (0.211, 0.330, 0.419)
Hf (0.946, 0.149, 0.885)
Hf (0.293, 0.911, 0.581)
B (0.818, 0.068, 0.136)
B (0.182, 0.932, 0.864)


# 3
Computed, not measured: a relaxed KYFe crystal at the GGA-PBE level of DFT.

Summary:
Polymorph energy (0 for the lowest one)   0.0 meV per atom
Energy of formation from the pure elements   0.615 eV per atom

Cell lengths 7.986, 7.986, 7.986 Å; angles 154.48, 154.49, 36.39 degrees
Fractional coordinates of all 3 atoms:
Fe (0.025, 0.025, 0.000)
K (0.357, 0.357, 0.000)
Y (0.618, 0.618, 0.000)


# 4
Computed, not measured: a relaxed LaCoIr2 crystal at the GGA-PBE level of DFT.

Summary:
Energy of formation from the pure elements   0.143 eV per atom

Cell lengths 4.971, 4.971, 4.971 Å; angles 130.55, 130.20, 72.80 degrees
Fractional coordinates of all 4 atoms:
Ir (0.249, 0.749, 0.500)
Ir (0.999, 0.999, 0.000)
Co (0.751, 0.251, 0.500)
La (0.500, 0.500, 0.000)


no.,calculated total energy (eV per formula unit)
1,-36.436
2,-51.371
3,-14.178
4,-29.184